# 1
# AcPr4NdSe8, optimized geometry, DFT PBE
data_AcPr4NdSe8
_cell_length_a 8.8346
_cell_length_b 8.8346
_cell_length_c 21.5926
_cell_angle_alpha 90.00
_cell_angle_beta 90.00
_cell_angle_gamma 120.00
_space_group_name_H-M_alt 'R 3 m'
_space_group_IT_number 160
_space_group_name_Hall 'R 3 -2"'
loop_
_atom_site_label
_atom_site_fract_x
_atom_site_fract_y
_atom_site_fract_z
Ac1 0.0000 0.0000 0.0000
Pr1 0.0000 0.0000 0.2494
Pr2 0.0054 0.5027 0.1255
Nd1 0.0000 0.0000 0.6232
Se1 0.0000 0.0000 0.3813
Se2 0.0000 0.0000 0.8632
Se3 0.0321 0.5160 0.3783
Se4 0.1766 0.3532 0.2068
# E_form (uncorrected) ... -2350 kJ/mol of formula units
# Volume ... 1459.5 Å³/cell
# Magnetic moment ... 0.0 μB/cell
# VASP energy ... -5.730 eV per atom
# DOS at the Fermi energy ... 27.71 states/eV/cell
# Crystal system ... trigonal


# 2
# CsP2RhS8, optimized geometry, DFT PBE
data_CsP2RhS8
_cell_length_a 5.8600
_cell_length_b 5.8600
_cell_length_c 10.3345
_cell_angle_alpha 90.00
_cell_angle_beta 90.00
_cell_angle_gamma 120.00
_space_group_name_H-M_alt 'P -3'
_space_group_IT_number 147
_space_group_name_Hall '-P 3'
loop_
_atom_site_label
_atom_site_fract_x
_atom_site_fract_y
_atom_site_fract_z
Cs1 0.0000 0.0000 0.0000
P1 0.3333 0.6667 0.6900
Rh1 0.0000 0.0000 0.5000
S1 0.0137 0.6719 0.3685
S2 0.3333 0.6667 0.8830
# E_form (uncorrected) ... -344 kJ/mol of formula units
# Volume ... 307.3 Å³/cell
# Magnetic moment ... 2.0 μB/cell
# VASP energy ... -4.634 eV per atom
# DOS at the Fermi energy ... 7.01 states/eV/cell
# Crystal system ... trigonal


# 3
# Th2TaAl2Ru5, optimized geometry, DFT PBE
data_Th2TaAl2Ru5
_cell_length_a 10.304
_cell_length_b 10.304
_cell_length_c 3.336
_cell_angle_alpha 90.00
_cell_angle_beta 90.00
_cell_angle_gamma 90.00
_space_group_name_H-M_alt 'P 4/m b m'
_space_group_IT_number 127
_space_group_name_Hall '-P 4 2ab'
loop_
_atom_site_label
_atom_site_fract_x
_atom_site_fract_y
_atom_site_fract_z
Th1 0.174 0.326 0.000
Ta1 0.000 0.000 0.000
Al1 0.124 0.624 0.000
Ru1 0.000 0.500 0.500
Ru2 0.066 0.797 0.500
# Volume ... 354.2 Å³/cell
# Magnetic moment ... 0.0 μB/cell
# VASP energy ... -8.541 eV per atom
# DOS at the Fermi energy ... 8.80 states/eV/cell
# Energy relative to the elements ... -0.485 eV per atom
# Crystal system ... tetragonal


# 4
# MoIrRh2, optimized geometry, DFT PBE
data_MoIrRh2
_cell_length_a 3.319
_cell_length_b 3.319
_cell_length_c 5.439
_cell_angle_alpha 90.00
_cell_angle_beta 90.00
_cell_angle_gamma 90.00
_space_group_name_H-M_alt 'P 4/m m m'
_space_group_IT_number 123
_space_group_name_Hall '-P 4 2'
loop_
_atom_site_label
_atom_site_fract_x
_atom_site_fract_y
_atom_site_fract_z
Mo1 0.000 0.000 0.000
Ir1 0.000 0.000 0.500
Rh1 0.500 0.500 0.251
# Volume ... 59.9 Å³/cell
# Magnetic moment ... 0.0 μB/cell
# VASP energy ... -8.456 eV per atom
# DOS at the Fermi energy ... 4.72 states/eV/cell
# Energy relative to the elements ... 0.143 eV per atom
# Crystal system ... tetragonal